# 1
The following is a DFT calculation (PBEsol) of crystalline TaAs2HSe at its relaxed geometry.

Properties
Total DFT energy (no corrections) in eV/cell: -27.59

Lattice parameters (Å, degrees): 3.8592 3.8592 5.0195 90.00 90.00 90.00
Space group P4/mmm (No. 123)
Unique sites:
Ta (0.0000, 0.0000, 0.0000) [1 per cell]
As (0.0000, 0.5000, 0.5000) [2 per cell]
H (0.5000, 0.5000, 0.5000) [1 per cell]
Se (0.5000, 0.5000, 0.0000) [1 per cell]

# 2
The following is a DFT calculation (PBEsol) of crystalline NiBiMo2Pt at its relaxed geometry.

Properties
DFT formation energy in meV/atom: 1307

Lattice parameters (Å, degrees): 4.4107 4.4107 4.8220 90.00 90.00 90.00
Space group P4/mmm (No. 123)
Unique sites:
Ni (0.0000, 0.0000, 0.0000) [1 per cell]
Bi (0.0000, 0.0000, 0.5000) [1 per cell]
Mo (0.0000, 0.5000, 0.0000) [2 per cell]
Pt (0.5000, 0.5000, 0.5000) [1 per cell]

# 3
The following is a DFT calculation (PBEsol) of crystalline CaTc2Rh at its relaxed geometry.

Properties
DFT formation energy in meV/atom: 488
E above lowest polymorph in eV/atom: 0.000

Lattice parameters (Å, degrees): 3.7366 3.7366 9.1128 90.00 90.00 90.00
Space group I4/mmm (No. 139)
Unique sites:
Ca (0.0000, 0.0000, 0.0000) [2 per cell]
Tc (0.0000, 0.5000, 0.2500) [4 per cell]
Rh (0.0000, 0.0000, 0.5000) [2 per cell]

# 4
The following is a DFT calculation (PBEsol) of crystalline ScSiRu2 at its relaxed geometry.

Properties
E_form (uncorrected) in eV/atom: -0.452

Lattice parameters (Å, degrees): 3.6263 3.6263 8.6175 90.00 90.00 90.00
Space group I-4m2 (No. 119)
Unique sites:
Sc (0.0000, 0.0000, 0.0000) [2 per cell]
Si (0.0000, 0.5000, 0.2500) [2 per cell]
Ru (0.0000, 0.0000, 0.5000) [2 per cell]
Ru (0.0000, 0.5000, 0.7500) [2 per cell]

| no. | V (Å³/cell) |
| --- | --- |
| 1 | 74.8 |
| 2 | 93.8 |
| 3 | 127.2 |
| 4 | 113.3 |